CaIn4Pb: optimized geometry, GGA-PBE.

Cell: 8.793 8.793 8.793 Å, 90.00 90.00 90.00°
Space group F-43m (No. 216)
Unique sites:
Ca: 0.000 0.000 0.000
In: 0.125 0.125 0.375
Pb: 0.250 0.250 0.750

Raw total energy: -17.5 eV/f.u.
ΔH_f (0 K): -0.80 eV per formula unit
Volume: 28.33 A^3/atom
Relative energy among the computed polymorphs: 0.053 eV per atom

Hf2TlMoN: optimized geometry, GGA-PBE.

Cell: 5.277 5.277 3.865 Å, 90.00 90.00 90.00°
Space group P4/mmm (No. 123)
Unique sites:
Hf: 0.000 0.500 0.000
Tl: 0.000 0.000 0.500
Mo: 0.500 0.500 0.000
N: 0.500 0.500 0.500

Raw total energy: -38.1 eV/f.u.
Volume: 21.52 A^3/atom
ΔE_f (raw): 0.676 eV per atom

TlZn2Cu: optimized geometry, GGA-PBE.

Cell: 4.117 4.117 4.130 Å, 90.00 90.00 90.00°
Space group P4/mmm (No. 123)
Unique sites:
Tl: 0.000 0.000 0.000
Zn: 0.000 0.500 0.500
Cu: 0.500 0.500 0.000

Raw total energy: -8.0 eV/f.u.
ΔH_f (0 K): 0.98 eV per formula unit
Volume: 17.50 A^3/atom
Relative energy among the computed polymorphs: 0.118 eV per atom

LiZrMn2: optimized geometry, GGA-PBE.

Cell: 3.011 3.011 7.007 Å, 90.00 90.00 90.00°
Space group P4mm (No. 99)
Unique sites:
Li: 0.000 0.000 0.000
Zr: 0.500 0.500 0.680
Mn: 0.000 0.000 0.404
Mn: 0.500 0.500 0.235

Raw total energy: -28.0 eV/f.u.
ΔH_f (0 K): 0.85 eV per formula unit
Volume: 15.88 A^3/atom

K6InHg23: optimized geometry, GGA-PBE.

Cell: 15.343 15.343 15.343 Å, 90.00 90.00 90.00°
Space group Fm-3m (No. 225)
Unique sites:
K: 0.000 0.000 0.229
In: 0.000 0.000 0.500
Hg: 0.000 0.000 0.000
Hg: 0.000 0.250 0.250
Hg: 0.122 0.122 0.378
Hg: 0.158 0.158 0.158

Raw total energy: -21.7 eV/f.u.
ΔH_f (0 K): -5.44 eV per formula unit
Volume: 30.10 A^3/atom

NaSrEr2Te4: optimized geometry, GGA-PBE.

Cell: 8.937 8.947 12.508 Å, 90.00 90.00 90.00°
Space group Fmmm (No. 69)
Unique sites:
Na: 0.000 0.000 0.000
Sr: 0.000 0.000 0.500
Er: 0.250 0.250 0.250
Te: 0.000 0.000 0.244
Te: 0.250 0.250 0.000

Raw total energy: -35.2 eV/f.u.
Volume: 31.25 A^3/atom
ΔE_f (raw): -1.310 eV per atom